Record 1
A plane-wave DFT calculation with PBE was carried out for an optimized crystal structure of SbH2.

Calculated values
Polymorph energy (0 for the lowest one) in meV/atom: 257.2
Total magnetic moment in μB per cell: 0.00
Crystal system: triclinic

a = 3.180 Å, b = 4.526 Å, c = 4.515 Å
α = 119.12°, β = 110.28°, γ = 90.52°
Sites, in units of the cell vectors:
H  0.866  0.757  0.732
H  0.028  0.452  0.071
Sb  0.097  0.886  0.199



Record 2
A plane-wave DFT calculation with PBE was carried out for an optimized crystal structure of Rb2MgTiBr6.

Calculated values
Polymorph energy (0 for the lowest one) in meV/atom: 0.0
Total magnetic moment in μB per cell: 4.00
Crystal system: trigonal
Formation energy from raw total energies in eV/atom: -1.43

a = 7.639 Å, b = 7.639 Å, c = 13.471 Å
α = 73.53°, β = 73.53°, γ = 60.00°
Sites, in units of the cell vectors:
Br  0.207  0.709  0.878
Br  0.793  0.793  0.122
Br  0.381  0.866  0.372
Br  0.866  0.381  0.372
Br  0.381  0.381  0.372
Br  0.134  0.619  0.628
Br  0.619  0.619  0.628
Br  0.619  0.134  0.628
Br  0.291  0.793  0.122
Br  0.709  0.207  0.878
Br  0.207  0.207  0.878
Br  0.793  0.291  0.122
Mg  0.000  0.000  0.000
Mg  0.500  0.500  0.500
Ti  0.415  0.415  0.756
Ti  0.585  0.585  0.244
Rb  0.878  0.878  0.365
Rb  0.122  0.122  0.635
Rb  0.707  0.707  0.880
Rb  0.293  0.293  0.120



Record 3
A plane-wave DFT calculation with PBE was carried out for an optimized crystal structure of Pm3GaSeCl.

Calculated values
Total magnetic moment in μB per cell: 0.00
Crystal system: monoclinic
Formation energy from raw total energies in eV/atom: -1.30

a = 3.998 Å, b = 7.495 Å, c = 11.107 Å
α = 103.16°, β = 90.00°, γ = 90.00°
Sites, in units of the cell vectors:
Ga  0.750  0.647  0.693
Ga  0.250  0.353  0.307
Pm  0.250  0.456  0.830
Pm  0.750  0.544  0.170
Pm  0.250  0.716  0.502
Pm  0.750  0.284  0.498
Pm  0.750  0.059  0.157
Pm  0.250  0.941  0.843
Cl  0.250  0.120  0.632
Cl  0.750  0.880  0.368
Se  0.750  0.238  0.943
Se  0.250  0.762  0.057



Record 4
A plane-wave DFT calculation with PBE was carried out for an optimized crystal structure of CaEuBi.

Calculated values
Polymorph energy (0 for the lowest one) in meV/atom: 0.0
Total magnetic moment in μB per cell: 7.38
Crystal system: cubic
ΔE_f in eV/atom: -0.6342

a = 5.454 Å, b = 5.454 Å, c = 5.454 Å
α = 60.00°, β = 60.00°, γ = 60.00°
Sites, in units of the cell vectors:
Ca  0.000  0.000  0.000
Eu  0.500  0.500  0.500
Bi  0.250  0.250  0.250



Record 5
A plane-wave DFT calculation with PBE was carried out for an optimized crystal structure of SiSbIN2.

Calculated values
Polymorph energy (0 for the lowest one) in meV/atom: 211.2
Total magnetic moment in μB per cell: 1.94
Crystal system: tetragonal
Formation energy from raw total energies in eV/atom: 1.51

a = 4.074 Å, b = 4.074 Å, c = 7.523 Å
α = 90.00°, β = 90.00°, γ = 90.00°
Sites, in units of the cell vectors:
I  0.000  0.000  0.500
Sb  0.000  0.000  0.000
N  0.000  0.500  0.000
N  0.500  0.000  0.000
Si  0.500  0.500  0.500



Q: Which value of total magnetic moment does entry 4 give?
A: 7.38 μB per cell



Q: What is the total magnetic moment in the third record?
A: 0.00 μB per cell



Q: What is the formula in the fourth record?
A: CaEuBi